Entry 1:
Density functional theory data (PBE-GGA) for a relaxed structure of Tl2RuRh.

Cell lengths 4.755, 4.755, 4.755 Å; angles 60.00, 60.00, 60.00 degrees
Each line ends with the local moment (μB).
Fractional coordinates of all 4 atoms:
Rh 0.500 0.500 0.500  0.33
Ru 0.750 0.750 0.750  0.94
Tl 0.000 0.000 0.000  -0.01
Tl 0.250 0.250 0.250  0.01

Computed properties:
Its calculated volume is 19.0 Å³/atom. The calculation puts the formation energy at 0.705 eV per atom. The value obtained for the uncorrected energy is -4.64 eV per atom.

---

Entry 2:
Density functional theory data (PBE-GGA) for a relaxed structure of TlRu2Rh.

Cell lengths 3.758, 2.862, 6.639 Å; angles 64.40, 90.00, 90.00 degrees
Fractional coordinates of all 4 atoms:
Rh 0.500 0.730 0.770
Ru 0.000 0.987 0.013
Ru 0.500 0.288 0.212
Tl 0.000 0.495 0.505

Computed properties:
Its calculated volume is 16.1 Å³/atom. The calculation puts the formation energy at 0.353 eV per atom. The value obtained for the uncorrected energy is -6.71 eV per atom.

---

Entry 3:
Density functional theory data (PBE-GGA) for a relaxed structure of Tl2RuRh.

Cell lengths 3.340, 5.217, 4.363 Å; angles 90.00, 90.00, 90.00 degrees
Fractional coordinates of all 4 atoms:
Rh 0.500 0.000 0.500
Ru 0.000 0.500 0.500
Tl 0.000 0.000 0.000
Tl 0.500 0.500 0.000

Computed properties:
Its calculated volume is 19.0 Å³/atom. The calculation puts the formation energy at 0.543 eV per atom. The value obtained for the uncorrected energy is -4.80 eV per atom.

---

Entry 4:
Density functional theory data (PBE-GGA) for a relaxed structure of Tl4RuRh.

Cell lengths 5.966, 5.966, 5.966 Å; angles 60.00, 60.00, 60.00 degrees
Each line ends with the local moment (μB).
Fractional coordinates of all 6 atoms:
Tl 0.875 0.375 0.375  0.01
Tl 0.375 0.375 0.875  0.01
Tl 0.375 0.875 0.375  0.01
Tl 0.375 0.375 0.375  0.01
Ru 0.000 0.000 0.000  2.06
Rh 0.750 0.750 0.750  0.66

Computed properties:
Its calculated volume is 25.0 Å³/atom. The calculation puts the formation energy at 1.169 eV per atom. The value obtained for the uncorrected energy is -3.18 eV per atom.

---

Entry 5:
Density functional theory data (PBE-GGA) for a relaxed structure of TlRu2Rh.

Cell lengths 4.493, 4.493, 4.493 Å; angles 60.00, 60.00, 60.00 degrees
Fractional coordinates of all 4 atoms:
Ru 0.250 0.250 0.250
Ru 0.750 0.750 0.750
Tl 0.500 0.500 0.500
Rh 0.000 0.000 0.000

Computed properties:
Its calculated volume is 16.0 Å³/atom. The calculation puts the formation energy at 0.566 eV per atom. The value obtained for the uncorrected energy is -6.50 eV per atom.

---

Entry 6:
Density functional theory data (PBE-GGA) for a relaxed structure of Tl2RuRh.

Cell lengths 4.672, 4.672, 4.672 Å; angles 60.00, 60.00, 60.00 degrees
Fractional coordinates of all 4 atoms:
Ru 0.000 0.000 0.000
Tl 0.250 0.250 0.250
Tl 0.750 0.750 0.750
Rh 0.500 0.500 0.500

Computed properties:
Its calculated volume is 18.0 Å³/atom. The calculation puts the formation energy at 0.347 eV per atom. The value obtained for the uncorrected energy is -4.99 eV per atom.

---

Entry 7:
Density functional theory data (PBE-GGA) for a relaxed structure of Tl2RuRh.

Cell lengths 5.543, 5.543, 5.543 Å; angles 137.98, 137.98, 60.93 degrees
Each line ends with the local moment (μB).
Fractional coordinates of all 4 atoms:
Rh 0.500 0.500 0.000  0.45
Ru 0.750 0.250 0.500  1.17
Tl 0.000 0.000 0.000  0.00
Tl 0.250 0.750 0.500  -0.01

Computed properties:
Its calculated volume is 18.9 Å³/atom. The calculation puts the formation energy at 0.564 eV per atom. The value obtained for the uncorrected energy is -4.78 eV per atom.

---

Entry 8:
Density functional theory data (PBE-GGA) for a relaxed structure of TlRu2Rh.

Cell lengths 4.524, 4.524, 4.524 Å; angles 60.00, 60.00, 60.00 degrees
Each line ends with the local moment (μB).
Fractional coordinates of all 4 atoms:
Rh 0.500 0.500 0.500  0.60
Ru 0.000 0.000 0.000  0.87
Ru 0.250 0.250 0.250  1.71
Tl 0.750 0.750 0.750  0.00

Computed properties:
Its calculated volume is 16.4 Å³/atom. The calculation puts the formation energy at 0.545 eV per atom. The value obtained for the uncorrected energy is -6.52 eV per atom.

---

Entry 9:
Density functional theory data (PBE-GGA) for a relaxed structure of TlRu2Rh.

Cell lengths 7.342, 7.342, 5.829 Å; angles 50.97, 50.97, 90.00 degrees
Fractional coordinates of all 8 atoms:
Ru 0.587 0.125 0.250
Ru 0.163 0.625 0.250
Ru 0.375 0.413 0.750
Ru 0.875 0.837 0.750
Tl 0.000 0.000 0.000
Tl 0.750 0.250 0.500
Rh 0.500 0.500 0.000
Rh 0.250 0.750 0.500

Computed properties:
Its calculated volume is 17.9 Å³/atom. The calculation puts the formation energy at 0.888 eV per atom. The value obtained for the uncorrected energy is -6.18 eV per atom.

---

Entry 10:
Density functional theory data (PBE-GGA) for a relaxed structure of TlRu2Rh.

Cell lengths 4.913, 4.913, 2.878 Å; angles 90.00, 90.00, 112.86 degrees
Fractional coordinates of all 4 atoms:
Rh 0.000 0.500 0.500
Ru 0.000 0.000 0.000
Ru 0.500 0.500 0.000
Tl 0.500 0.000 0.500

Computed properties:
Its calculated volume is 16.0 Å³/atom. The calculation puts the formation energy at 0.564 eV per atom. The value obtained for the uncorrected energy is -6.50 eV per atom.

---

Entry 11:
Density functional theory data (PBE-GGA) for a relaxed structure of Tl2RuRh.

Cell lengths 7.374, 4.653, 3.330 Å; angles 89.99, 63.17, 129.12 degrees
Fractional coordinates of all 4 atoms:
Rh 0.000 0.500 0.500
Ru 0.500 0.500 0.000
Tl 0.000 0.000 0.000
Tl 0.500 0.000 0.500

Computed properties:
Its calculated volume is 18.0 Å³/atom. The calculation puts the formation energy at 0.339 eV per atom. The value obtained for the uncorrected energy is -5.00 eV per atom.

---

Entry 12:
Density functional theory data (PBE-GGA) for a relaxed structure of Tl2RuRh.

Cell lengths 4.623, 4.623, 5.539 Å; angles 78.05, 78.05, 40.91 degrees
Each line ends with the local moment (μB).
Fractional coordinates of all 4 atoms:
Rh 0.750 0.750 0.750  0.16
Ru 0.250 0.250 0.250  0.26
Tl 0.000 0.000 0.001  0.00
Tl 0.500 0.500 0.499  0.00

Computed properties:
Its calculated volume is 18.9 Å³/atom. The calculation puts the formation energy at 0.468 eV per atom. The value obtained for the uncorrected energy is -4.87 eV per atom.

---

Entry 13:
Density functional theory data (PBE-GGA) for a relaxed structure of TlRu2Rh.

Cell lengths 4.822, 4.822, 4.924 Å; angles 80.24, 80.24, 34.71 degrees
Fractional coordinates of all 4 atoms:
Rh 0.257 0.257 0.240
Ru 0.003 0.003 0.980
Ru 0.740 0.740 0.793
Tl 0.500 0.500 0.488

Computed properties:
Its calculated volume is 16.0 Å³/atom. The calculation puts the formation energy at 0.396 eV per atom. The value obtained for the uncorrected energy is -6.67 eV per atom.

---

Entry 14:
Density functional theory data (PBE-GGA) for a relaxed structure of TlRu2Rh.

Cell lengths 4.775, 2.857, 4.819 Å; angles 86.58, 90.00, 90.00 degrees
Each line ends with the local moment (μB).
Fractional coordinates of all 4 atoms:
Rh 0.500 0.750 0.750  0.21
Ru 0.000 0.969 0.983  0.68
Ru 0.000 0.531 0.517  0.68
Tl 0.500 0.250 0.250  0.00

Computed properties:
Its calculated volume is 16.4 Å³/atom. The calculation puts the formation energy at 0.587 eV per atom. The value obtained for the uncorrected energy is -6.48 eV per atom.

---

Entry 15:
Density functional theory data (PBE-GGA) for a relaxed structure of TlRu2Rh.

Cell lengths 2.866, 2.866, 7.815 Å; angles 90.00, 90.00, 90.00 degrees
Fractional coordinates of all 4 atoms:
Rh 0.500 0.500 0.772
Ru 0.000 0.000 0.008
Ru 0.500 0.500 0.220
Tl 0.000 0.000 0.500

Computed properties:
Its calculated volume is 16.0 Å³/atom. The calculation puts the formation energy at 0.307 eV per atom. The value obtained for the uncorrected energy is -6.76 eV per atom.

---

Entry 16:
Density functional theory data (PBE-GGA) for a relaxed structure of TlRu2Rh.

Cell lengths 9.156, 9.156, 9.156 Å; angles 18.09, 18.09, 18.09 degrees
Fractional coordinates of all 4 atoms:
Rh 0.750 0.750 0.750
Ru 0.005 0.005 0.005
Ru 0.495 0.495 0.495
Tl 0.250 0.250 0.250

Computed properties:
Its calculated volume is 16.2 Å³/atom. The calculation puts the formation energy at 0.567 eV per atom. The value obtained for the uncorrected energy is -6.50 eV per atom.

---

Entry 17:
Density functional theory data (PBE-GGA) for a relaxed structure of TlRu2Rh.

Cell lengths 2.820, 3.837, 5.991 Å; angles 90.00, 90.00, 90.00 degrees
Fractional coordinates of all 4 atoms:
Rh 0.500 0.500 0.750
Ru 0.000 0.000 0.966
Ru 0.000 0.000 0.534
Tl 0.500 0.500 0.250

Computed properties:
Its calculated volume is 16.2 Å³/atom. The calculation puts the formation energy at 0.474 eV per atom. The value obtained for the uncorrected energy is -6.59 eV per atom.

---

Entry 18:
Density functional theory data (PBE-GGA) for a relaxed structure of TlRuRh4.

Cell lengths 5.176, 5.176, 5.176 Å; angles 60.00, 60.00, 60.00 degrees
Each line ends with the local moment (μB).
Fractional coordinates of all 6 atoms:
Tl 0.000 0.000 0.000  -0.01
Ru 0.750 0.750 0.750  2.01
Rh 0.874 0.375 0.375  0.47
Rh 0.375 0.375 0.874  0.47
Rh 0.375 0.874 0.375  0.47
Rh 0.375 0.375 0.375  0.47

Computed properties:
Its calculated volume is 16.3 Å³/atom. The calculation puts the formation energy at 0.451 eV per atom. The value obtained for the uncorrected energy is -6.39 eV per atom.

---

Entry 19:
Density functional theory data (PBE-GGA) for a relaxed structure of TlRu2Rh.

Cell lengths 4.828, 4.828, 4.941 Å; angles 79.97, 79.97, 34.58 degrees
Fractional coordinates of all 4 atoms:
Rh 0.250 0.250 0.250
Ru 0.991 0.991 0.033
Ru 0.509 0.509 0.467
Tl 0.750 0.750 0.750

Computed properties:
Its calculated volume is 16.1 Å³/atom. The calculation puts the formation energy at 0.402 eV per atom. The value obtained for the uncorrected energy is -6.67 eV per atom.

---

Entry 20:
Density functional theory data (PBE-GGA) for a relaxed structure of TlRuRh3.

Cell lengths 4.718, 4.718, 4.718 Å; angles 90.00, 90.00, 90.00 degrees
Fractional coordinates of all 5 atoms:
Ru 0.000 0.000 0.000
Tl 0.500 0.500 0.500
Rh 0.000 0.500 0.000
Rh 0.000 0.000 0.500
Rh 0.500 0.000 0.000

Computed properties:
Its calculated volume is 21.0 Å³/atom. The calculation puts the formation energy at 1.075 eV per atom. The value obtained for the uncorrected energy is -5.66 eV per atom.